{"formula": "UPaAgO6", "functional": "PBE", "state": "relaxed", "final_energy_ev_per_cell": -155.17, "e_form_raw_mev_per_atom": -2689, "magmom_total_mub_per_fu": 0.000, "vol_a3_per_atom": 16.59, "lattice_angstrom": [[5.965, 0.000, 0.000], [-2.982, 5.165, 0.000], [0.000, 0.000, 9.690]], "species": ["U", "U", "Pa", "Pa", "Ag", "Ag", "O", "O", "O", "O", "O", "O", "O", "O", "O", "O", "O", "O"], "frac_coords": [[0.333, 0.667, 0.250], [0.667, 0.333, 0.750], [0.333, 0.667, 0.750], [0.667, 0.333, 0.250], [0.000, 0.000, 0.000], [0.000, 0.000, 0.500], [0.011, 0.379, 0.143], [0.011, 0.632, 0.357], [0.368, 0.379, 0.357], [0.368, 0.989, 0.143], [0.379, 0.011, 0.643], [0.379, 0.368, 0.857], [0.621, 0.632, 0.143], [0.621, 0.989, 0.357], [0.632, 0.011, 0.857], [0.632, 0.621, 0.643], [0.989, 0.368, 0.643], [0.989, 0.621, 0.857]]}